Entry 1:
Here is a geometry-optimized Cs3BO4 structure from Alexandria via LeMat-Bulk. Energies are from GGA-PBE.

Structure (extended XYZ):
```
8
Lattice="-2.3084 3.1816 6.1162 2.3084 -3.1816 6.1162 2.3084 3.1816 -6.1162" Properties=species:S:1:pos:R:3 pbc="T T T"
Cs 0.0000 0.0000 0.0000
Cs 2.3084 0.0000 3.4136
Cs 0.0000 3.1816 2.7027
B 0.0000 0.0000 6.1162
O 2.3084 2.1119 -1.0710
O 2.3084 2.1119 1.0710
O 0.0000 1.0697 5.0452
O 0.0000 1.0697 7.1873
```

Values from the calculation:
Space-group type: Immm
Formation energy without anion corrections in eV/atom: -1.2488

***

Entry 2:
Here is a geometry-optimized CsBO2 structure from Alexandria via LeMat-Bulk. Energies are from GGA-PBE.

Structure (extended XYZ):
```
4
Lattice="1.4990 0.8654 6.9442 -1.4990 0.8654 6.9442 0.0000 -1.7309 6.9442" Properties=species:S:1:pos:R:3 pbc="T T T"
Cs 0.0000 0.0000 0.0000
B 0.0000 0.0000 10.4164
O 0.0000 0.0000 2.6437
O 0.0000 0.0000 18.1891
```

Values from the calculation:
Space-group type: R-3m
Formation energy without anion corrections in eV/atom: -0.0033

***

Entry 3:
Here is a geometry-optimized CsBO2 structure from Alexandria via LeMat-Bulk. Energies are from GGA-PBE.

Structure (extended XYZ):
```
8
Lattice="3.1374 -5.4203 0.0000 3.1374 5.4203 0.0000 -1.2460 0.0000 3.8999" Properties=species:S:1:pos:R:3 pbc="T T T"
Cs 2.2029 3.7285 2.9249
Cs 2.8259 -3.7285 0.9750
B 2.8259 0.0058 0.9750
B 2.2029 -0.0058 2.9249
O 1.1480 0.7746 3.6579
O 1.7711 -0.7746 1.7079
O 3.2578 0.7746 2.1920
O 3.8808 -0.7746 0.2420
```

Values from the calculation:
Space-group type: C2/c
Formation energy without anion corrections in eV/atom: -2.1962

***

Entry 4:
Here is a geometry-optimized Cs4B2O5 structure from Alexandria via LeMat-Bulk. Energies are from GGA-PBE.

Structure (extended XYZ):
```
11
Lattice="5.2246 -3.1984 0.0000 5.2246 3.1984 0.0000 -2.0633 0.0000 7.5623" Properties=species:S:1:pos:R:3 pbc="T T T"
Cs 0.0000 0.0000 0.0000
Cs 3.5444 0.0000 1.6236
Cs 4.3783 0.0000 5.5999
Cs 7.3707 0.0000 3.7152
B 0.0954 0.0000 3.4464
B 0.9866 0.0000 5.8927
O 1.4376 1.2139 6.3478
O -0.0957 0.0000 4.9056
O 5.3530 1.9784 2.8196
O 1.4376 -1.2139 6.3478
O 5.3530 -1.9784 2.8196
```

Values from the calculation:
Space-group type: Cm
Formation energy without anion corrections in eV/atom: -1.9866

***

Entry 5:
Here is a geometry-optimized Cs5B2O5 structure from Alexandria via LeMat-Bulk. Energies are from GGA-PBE.

Structure (extended XYZ):
```
12
Lattice="7.6866 -1.6583 0.0000 7.6866 1.6583 0.0000 -5.9755 0.0000 11.4255" Properties=species:S:1:pos:R:3 pbc="T T T"
Cs 0.0000 0.0000 0.0000
Cs -2.6132 0.0000 8.4460
Cs -0.8156 0.0000 5.4017
Cs 10.2132 0.0000 6.0237
Cs 12.0108 0.0000 2.9795
B 0.8777 0.0000 8.6315
B 8.5199 0.0000 2.7940
O 1.5705 0.0000 2.9140
O 2.1447 0.0000 8.9026
O 4.6988 0.0000 5.7127
O 7.2529 0.0000 2.5229
O 7.8271 0.0000 8.5115
```

Values from the calculation:
Space-group type: C2/m
Formation energy without anion corrections in eV/atom: -1.1267

***

Entry 6:
Here is a geometry-optimized CsBO2 structure from Alexandria via LeMat-Bulk. Energies are from GGA-PBE.

Structure (extended XYZ):
```
8
Lattice="0.0000 3.6452 3.6452 3.6452 0.0000 3.6452 3.6452 3.6452 0.0000" Properties=species:S:1:pos:R:3 pbc="T T T"
Cs 0.9113 0.9113 0.9113
Cs 6.3791 6.3791 6.3791
B 2.7339 2.7339 2.7339
B 4.5565 4.5565 4.5565
O 3.6452 1.8226 1.8226
O 1.8226 3.6452 1.8226
O 1.8226 1.8226 3.6452
O 3.6452 3.6452 3.6452
```

Values from the calculation:
Space-group type: Fd-3m
Formation energy without anion corrections in eV/atom: -1.6773

***

Entry 7:
Here is a geometry-optimized Cs3B2O4 structure from Alexandria via LeMat-Bulk. Energies are from GGA-PBE.

Structure (extended XYZ):
```
18
Lattice="7.7548 -4.0958 0.0000 7.7548 4.0958 0.0000 -4.0435 0.0000 9.9699" Properties=species:S:1:pos:R:3 pbc="T T T"
Cs 4.7222 3.0160 7.4774
Cs 3.9064 1.3321 1.9560
Cs 1.8847 -1.3321 6.9410
Cs 9.5815 1.3321 3.0289
Cs 7.5598 -1.3321 8.0138
Cs 6.7440 -3.0160 2.4925
B 1.7176 1.1612 4.6123
B -0.3041 -1.1612 9.5973
B 11.7703 1.1612 0.3726
B 9.7486 -1.1612 5.3575
O 1.9931 1.6115 5.9749
O -0.4953 0.0167 9.0803
O 1.5265 -0.0167 4.0954
O 4.0149 -1.6115 0.9900
O 7.4513 1.6115 8.9799
O 9.9397 0.0167 5.8745
O 11.9615 -0.0167 0.8896
O 9.4730 -1.6115 3.9950
```

Values from the calculation:
Space-group type: C2/c
Formation energy without anion corrections in eV/atom: -1.9218
ΔE to the lowest computed polymorph in eV/atom: 0.000

***

Entry 8:
Here is a geometry-optimized CsBO2 structure from Alexandria via LeMat-Bulk. Energies are from GGA-PBE.

Structure (extended XYZ):
```
16
Lattice="2.3734 -6.9857 0.0000 2.3734 6.9857 0.0000 0.0000 0.0000 9.8934" Properties=species:S:1:pos:R:3 pbc="T T T"
Cs 2.3734 5.0522 9.2482
Cs 2.3734 1.9334 4.3015
Cs 2.3734 -1.9334 5.5919
Cs 2.3734 -5.0522 0.6452
B 2.3734 5.8149 2.9348
B 2.3734 1.1708 7.8815
B 2.3734 -1.1708 2.0119
B 2.3734 -5.8149 6.9586
O 2.3734 4.8062 3.7930
O 1.1867 0.5172 7.4200
O 1.1867 -0.5172 2.4733
O 2.3734 2.1795 8.7397
O 2.3734 -2.1795 1.1537
O 3.5601 0.5172 7.4200
O 3.5601 -0.5172 2.4733
O 2.3734 -4.8062 6.1004
```

Values from the calculation:
Space-group type: Cmce
Formation energy without anion corrections in eV/atom: -2.2094

***

Entry 9:
Here is a geometry-optimized CsZnBP2O8 structure from Alexandria via LeMat-Bulk. Energies are from GGA-PBE.

Structure (extended XYZ):
```
26
Lattice="7.6546 0.0000 0.0000 -2.0779 7.7514 0.0000 -1.8372 -4.3675 6.6324" Properties=species:S:1:pos:R:3 pbc="T T T"
Cs 0.9283 2.3150 0.6273
Cs 2.8112 1.0688 6.0050
Zn -0.6159 2.1674 5.0426
Zn 4.3555 1.2164 1.5898
B -1.1744 5.3760 2.8686
B 4.9140 -1.9921 3.7638
P -0.8469 -0.1381 2.9124
P 1.2152 6.0089 1.5217
P 2.5243 -2.6250 5.1107
P 4.5864 3.5220 3.7200
O -1.9610 4.1108 2.7666
O -2.4270 2.8958 4.9718
O 0.0605 -1.2801 2.3476
O -0.0192 0.8689 3.7051
O -0.0507 5.1665 1.9387
O 1.3148 -2.0883 4.2476
O 1.5559 5.5720 0.0941
O 3.0407 -0.2535 1.7236
O 0.6988 3.6373 4.9088
O 2.1837 -2.1881 6.5383
O 2.4247 5.4721 2.3848
O 3.7902 -1.7827 4.6936
O 3.7587 2.5150 2.9273
O 3.6790 4.6640 4.2848
O 6.1666 0.4881 1.6606
O 5.7005 -0.7270 3.8658
```

Values from the calculation:
Space-group type: P-1
Formation energy without anion corrections in eV/atom: -2.2318

***

Entry 10:
Here is a geometry-optimized Cs2PaB2O6 structure from Alexandria via LeMat-Bulk. Energies are from GGA-PBE.

Structure (extended XYZ):
```
11
Lattice="2.8241 1.6305 7.1508 -2.8241 1.6305 7.1508 0.0000 -3.2609 7.1508" Properties=species:S:1:pos:R:3 pbc="T T T"
Cs 0.0000 0.0000 4.6093
Cs 0.0000 0.0000 16.8432
Pa 0.0000 0.0000 0.0000
B 0.0000 0.0000 8.4515
B 0.0000 0.0000 13.0009
O 0.0000 -1.3925 8.4673
O -1.2059 0.6962 8.4673
O -1.2059 -0.6962 12.9852
O 1.2059 0.6962 8.4673
O 1.2059 -0.6962 12.9852
O 0.0000 1.3925 12.9852
```

Values from the calculation:
Space-group type: R-3m
Formation energy without anion corrections in eV/atom: -2.5873

***

Entry 11:
Here is a geometry-optimized CsPaBO5 structure from Alexandria via LeMat-Bulk. Energies are from GGA-PBE.

Structure (extended XYZ):
```
16
Lattice="3.6823 -4.9317 0.0000 3.6823 4.9317 0.0000 -3.5509 0.0000 7.0940" Properties=species:S:1:pos:R:3 pbc="T T T"
Cs 1.0192 4.0105 5.3205
Cs 2.7946 -4.0105 1.7735
Pa 1.8412 2.4658 0.0000
Pa 0.0657 -2.4658 3.5470
B 1.0192 0.3914 5.3205
B 2.7946 -0.3914 1.7735
O 2.7946 3.0911 1.7735
O 1.9618 0.5215 0.8778
O 0.1842 1.3306 6.0954
O 0.1864 -0.5215 4.4248
O 1.8542 1.3306 4.5457
O 1.9596 -1.3306 2.5484
O 3.6274 0.5215 2.6692
O 3.6296 -1.3306 0.9987
O 1.8520 -0.5215 6.2162
O 1.0192 -3.0911 5.3205
```

Values from the calculation:
Space-group type: C2/c
Formation energy without anion corrections in eV/atom: -2.4099

***

> Which value of formation energy without anion corrections does entry 4 give?

-1.9866 eV/atom